Entry 1:
RbLi2GeS4 after structural relaxation. Source: the Alexandria database, functional PBE.

Formation energy (no corrections): -808 meV/atom
V: 24.60 Å³ per atom
Mass density: 2.5 g/cm3
Magnetic moment: 1.1 μB/f.u.
E: -64.77 eV/cell

Cell: 6.6203 6.6203 8.9796 Å, 90.00 90.00 90.00°
Last column: nearest neighbours and their distance in Å.
Sites, in units of the cell vectors:
1 Rb 0.0000 0.0000 0.0000  8 S 3.25-3.56
2 Rb 0.5000 0.5000 0.5000  8 S 3.25-3.56
3 Li 0.0000 0.5000 0.2500  4 S 2.56
4 Li 0.0000 0.5000 0.7500  4 S 2.56
5 Li 0.5000 0.0000 0.2500  4 S 2.56
6 Li 0.5000 0.0000 0.7500  4 S 2.56
7 Ge 0.0000 0.0000 0.5000  4 S 2.23
8 Ge 0.5000 0.5000 0.0000  4 S 2.23
9 S 0.1864 0.1864 0.3452  1 Ge 2.23
10 S 0.1864 0.8136 0.6548  1 Ge 2.23
11 S 0.3136 0.3136 0.8452  1 Ge 2.23
12 S 0.3136 0.6864 0.1548  1 Ge 2.23
13 S 0.6864 0.3136 0.1548  1 Ge 2.23
14 S 0.6864 0.6864 0.8452  1 Ge 2.23
15 S 0.8136 0.1864 0.6548  1 Ge 2.23
16 S 0.8136 0.8136 0.3452  1 Ge 2.23



Entry 2:
Rb2LiGeSb2 after structural relaxation. Source: the Alexandria database, functional PBE.

Formation energy (no corrections): -384 meV/atom
V: 34.11 Å³ per atom
Mass density: 4.0 g/cm3
Magnetic moment: 0.0 μB/f.u.
E: -38.03 eV/cell

Cell: 9.6331 9.6331 9.6331 Å, 137.11 62.29 137.09°
Last column: nearest neighbours and their distance in Å.
Sites, in units of the cell vectors:
1 Rb 0.1682 0.2407 0.4088  2 Li 3.70, 5 Sb 3.72-3.98, 2 Ge 3.76
2 Rb 0.3318 0.7407 0.0725  2 Li 3.70, 5 Sb 3.72-3.98, 2 Ge 3.76
3 Rb 0.6682 0.2593 0.9275  2 Li 3.70, 5 Sb 3.72-3.98, 2 Ge 3.76
4 Rb 0.8318 0.7593 0.5912  2 Li 3.70, 5 Sb 3.72-3.98, 2 Ge 3.76
5 Li 0.2500 0.2500 0.0000  4 Sb 2.96
6 Li 0.7500 0.7500 0.0000  4 Sb 2.96
7 Ge 0.2500 0.7500 0.5000  4 Sb 2.84
8 Ge 0.7500 0.2500 0.5000  4 Sb 2.84
9 Sb 0.0903 0.7362 0.8266  2 Ge 2.84, 2 Li 2.96
10 Sb 0.4097 0.2362 0.6459  2 Ge 2.84, 2 Li 2.96
11 Sb 0.5903 0.7638 0.3541  2 Ge 2.84, 2 Li 2.96
12 Sb 0.9097 0.2638 0.1734  2 Ge 2.84, 2 Li 2.96



Entry 3:
Rb2LiGeSe4 after structural relaxation. Source: the Alexandria database, functional PBE.

Formation energy (no corrections): -769 meV/atom
V: 30.66 Å³ per atom
Mass density: 3.8 g/cm3
Magnetic moment: 1.1 μB/f.u.
E: -57.11 eV/cell

Cell: 8.2788 8.2788 7.1579 Å, 90.00 90.00 90.00°
Last column: nearest neighbours and their distance in Å.
Sites, in units of the cell vectors:
1 Rb 0.0000 0.5000 0.0000  8 Se 3.51-3.72, 2 Rb 3.58
2 Rb 0.0000 0.5000 0.5000  8 Se 3.51-3.72, 2 Rb 3.58
3 Rb 0.5000 0.0000 0.0000  8 Se 3.51-3.72, 2 Rb 3.58
4 Rb 0.5000 0.0000 0.5000  8 Se 3.51-3.72, 2 Rb 3.58
5 Li 0.0000 0.0000 0.0000  4 Se 2.70
6 Li 0.5000 0.5000 0.5000  4 Se 2.70
7 Ge 0.0000 0.0000 0.5000  4 Se 2.39
8 Ge 0.5000 0.5000 0.0000  4 Se 2.39
9 Se 0.1539 0.1539 0.2800  1 Ge 2.39
10 Se 0.1539 0.8461 0.7200  1 Ge 2.39
11 Se 0.3461 0.3461 0.7800  1 Ge 2.39
12 Se 0.3461 0.6539 0.2200  1 Ge 2.39
13 Se 0.6539 0.3461 0.2200  1 Ge 2.39
14 Se 0.6539 0.6539 0.7800  1 Ge 2.39
15 Se 0.8461 0.1539 0.7200  1 Ge 2.39
16 Se 0.8461 0.8461 0.2800  1 Ge 2.39